A relaxed structure of Ho2ErTl3Se6, computed with PBE-GGA.

Computed properties:
E_form (uncorrected) = -1383.2 meV/atom
Space group = C2/m
Electronic total energy = -4.860 eV/atom

Cell and atoms, written as POSCAR:
```
Ho2ErTl3Se6
1.0
3.605 -6.245 0.000
3.605 6.245 0.000
-2.403 0.000 7.777
Ho Er Tl Se
2 1 3 6
direct
0.167 0.833 0.000
0.833 0.167 0.000
0.500 0.500 0.000
0.000 0.000 0.500
0.333 0.667 0.500
0.667 0.333 0.500
0.100 0.432 0.797
0.235 0.235 0.203
0.432 0.100 0.797
0.568 0.900 0.203
0.765 0.765 0.797
0.900 0.568 0.203
```